# GdHoTcRh PBE relaxed
data_GdHoTcRh
_symmetry_space_group_name_H-M 'F -4 3 m'
_symmetry_Int_Tables_number 216
_symmetry_space_group_name_Hall 'F -4 2 3'
_cell_length_a 6.854
_cell_length_b 6.854
_cell_length_c 6.854
_cell_angle_alpha 90.00
_cell_angle_beta 90.00
_cell_angle_gamma 90.00
loop_
_atom_site_label
_atom_site_fract_x
_atom_site_fract_y
_atom_site_fract_z
Gd1 0.000 0.000 0.000
Ho1 0.000 0.000 0.500
Tc1 0.250 0.250 0.250
Rh1 0.250 0.250 0.750
# Total magnetization in Bohr magnetons per cell: 27.95
# Mass density in g/cm³: 10.79
# E in Ry per atom: -0.6909